(1)
ZnCd2Bi2 | PBE | optimized geometry

Cell and atoms, written as POSCAR:
```
ZnCd2Bi2
1.0
-7.214 3.072 -1.377
-0.404 -4.024 -6.857
-1.900 -3.493 2.162
Zn Bi Cd
2 4 4
Direct
0.000 0.000 0.000 Zn
0.500 0.500 0.000 Zn
0.317 0.817 0.000 Bi
0.817 0.683 0.000 Bi
0.683 0.183 0.000 Bi
0.183 0.317 0.000 Bi
0.131 0.631 0.500 Cd
0.631 0.869 0.500 Cd
0.869 0.369 0.500 Cd
0.369 0.131 0.500 Cd
```

Computed properties:
energy relative to the lowest polymorph listed for this composition: 0.0 meV/atom


(2)
Zn12Cd3Bi5 | PBE | optimized geometry

Cell and atoms, written as POSCAR:
```
Zn12Cd3Bi5
1.0
-2.355 2.827 -13.398
-6.550 -11.750 3.474
-4.748 10.441 7.841
Cd Bi Zn
12 20 48
Direct
0.750 0.375 0.125 Cd
0.875 0.750 0.125 Cd
0.375 0.750 0.625 Cd
0.250 0.125 0.375 Cd
0.875 0.125 0.250 Cd
0.375 0.625 0.250 Cd
0.625 0.375 0.750 Cd
0.125 0.875 0.750 Cd
0.750 0.875 0.625 Cd
0.625 0.250 0.375 Cd
0.125 0.250 0.875 Cd
0.250 0.625 0.875 Cd
0.125 0.375 0.250 Bi
0.000 0.500 0.000 Bi
0.000 0.000 0.000 Bi
0.375 0.250 0.125 Bi
0.500 0.000 0.500 Bi
0.500 0.500 0.000 Bi
0.125 0.750 0.375 Bi
0.750 0.125 0.875 Bi
0.750 0.625 0.375 Bi
0.375 0.125 0.750 Bi
0.625 0.875 0.250 Bi
0.500 0.500 0.500 Bi
0.500 0.000 0.000 Bi
0.000 0.000 0.500 Bi
0.250 0.375 0.625 Bi
0.250 0.875 0.125 Bi
0.000 0.500 0.500 Bi
0.875 0.250 0.625 Bi
0.625 0.750 0.875 Bi
0.875 0.625 0.750 Bi
0.740 0.149 0.075 Zn
0.335 0.575 0.425 Zn
0.925 0.351 0.260 Zn
0.575 0.240 0.149 Zn
0.590 0.740 0.665 Zn
0.925 0.575 0.165 Zn
0.335 0.760 0.410 Zn
0.075 0.910 0.149 Zn
0.575 0.925 0.665 Zn
0.740 0.590 0.165 Zn
0.760 0.425 0.351 Zn
0.835 0.925 0.075 Zn
0.149 0.740 0.575 Zn
0.351 0.425 0.090 Zn
0.090 0.925 0.351 Zn
0.410 0.149 0.575 Zn
0.090 0.165 0.240 Zn
0.425 0.665 0.075 Zn
0.835 0.910 0.260 Zn
0.149 0.410 0.075 Zn
0.351 0.925 0.760 Zn
0.575 0.649 0.410 Zn
0.925 0.835 0.575 Zn
0.760 0.335 0.910 Zn
0.425 0.351 0.590 Zn
0.075 0.165 0.425 Zn
0.240 0.665 0.090 Zn
0.165 0.090 0.740 Zn
0.649 0.075 0.240 Zn
0.851 0.590 0.925 Zn
0.575 0.335 0.925 Zn
0.590 0.851 0.425 Zn
0.910 0.835 0.760 Zn
0.910 0.075 0.649 Zn
0.851 0.260 0.425 Zn
0.165 0.075 0.925 Zn
0.649 0.575 0.910 Zn
0.425 0.075 0.335 Zn
0.260 0.410 0.835 Zn
0.240 0.575 0.649 Zn
0.925 0.090 0.851 Zn
0.665 0.240 0.590 Zn
0.425 0.760 0.851 Zn
0.075 0.425 0.835 Zn
0.410 0.260 0.335 Zn
0.075 0.649 0.740 Zn
0.665 0.425 0.575 Zn
0.260 0.851 0.925 Zn
```

Computed properties:
raw total energy: -1.6620 eV per atom


Number 1: magnetic moment 0.00 μB per formula unit. Number 2: magnetic moment 0.00 μB per formula unit.